{"formula": "Ti2Mo7W2", "functional": "PBE-GGA", "state": "optimized geometry", "lattice_angstrom": [[3.143, -4.419, 0.000], [3.143, 4.419, 0.000], [-1.089, 0.000, 6.599]], "species": ["Ti", "Ti", "Mo", "Mo", "Mo", "Mo", "Mo", "Mo", "Mo", "W", "W"], "frac_coords": [[0.240, 0.760, 0.000], [0.760, 0.240, 0.000], [0.061, 0.580, 0.333], [0.272, 0.272, 0.994], [0.420, 0.939, 0.667], [0.500, 0.500, 0.500], [0.580, 0.061, 0.333], [0.728, 0.728, 0.006], [0.939, 0.420, 0.667], [0.083, 0.083, 0.327], [0.917, 0.917, 0.673]], "total_magnetization_mub_per_atom": 0.000, "density_g_cm3": 10.3, "volume_a3_per_fu": 183.3, "dft_energy_ev_per_atom": -10.38}